Record 1
Compound: TbThGaRh
Source: Alexandria via LeMat-Bulk
Functional: PBE-GGA
Structure: relaxed

## Properties
**Density of states at the Fermi level**: 3.1 states/eV/cell
**Magnetization**: 0.000 μB/atom
**Crystal system**: cubic
**Energy**: -6.1697 eV/atom
**DFT formation energy**: -562.6 meV/atom

Cell: 5.074 5.074 5.074 Å, 60.00 60.00 60.00°
Positions (direct):
Tb1 0.000 0.000 0.000
Rh1 0.750 0.750 0.750
Ga1 0.250 0.250 0.250
Th1 0.500 0.500 0.500

Record 2
Compound: TbThGaRh
Source: Alexandria via LeMat-Bulk
Functional: PBE-GGA
Structure: relaxed

## Properties
**Density of states at the Fermi level**: 2.9 states/eV/cell
**Magnetization**: 0.000 μB/atom
**Crystal system**: orthorhombic
**Energy**: -6.3701 eV/atom
**DFT formation energy**: -763.0 meV/atom

Cell: 4.207 3.914 6.129 Å, 90.00 110.07 90.00°
Positions (direct):
Th1 0.869 0.500 0.738
Rh1 0.408 0.000 0.815
Ga1 0.576 0.500 0.152
Tb1 0.147 0.000 0.294

Record 3
Compound: Tb2Ti2GaRh5
Source: Alexandria via LeMat-Bulk
Functional: PBE-GGA
Structure: relaxed

## Properties
**Density of states at the Fermi level**: 10.7 states/eV/cell
**Magnetization**: 0.000 μB/atom
**Crystal system**: tetragonal
**Energy**: -7.1132 eV/atom
**DFT formation energy**: -629.8 meV/atom

Cell: 3.148 10.502 10.502 Å, 90.00 90.00 90.00°
Positions (direct):
Ti1 0.000 0.367 0.133
Ti2 0.000 0.133 0.633
Ti3 0.000 0.633 0.867
Ti4 0.000 0.867 0.367
Tb1 0.000 0.827 0.673
Tb2 0.000 0.673 0.173
Tb3 0.000 0.327 0.827
Tb4 0.000 0.173 0.327
Ga1 0.000 0.500 0.500
Ga2 0.000 0.000 0.000
Rh1 0.500 0.696 0.449
Rh2 0.500 0.304 0.551
Rh3 0.500 0.051 0.804
Rh4 0.500 0.196 0.051
Rh5 0.500 0.551 0.696
Rh6 0.500 0.000 0.500
Rh7 0.500 0.500 0.000
Rh8 0.500 0.449 0.304
Rh9 0.500 0.804 0.949
Rh10 0.500 0.949 0.196

Record 4
Compound: Tb2TlGa2Rh5
Source: Alexandria via LeMat-Bulk
Functional: PBE-GGA
Structure: relaxed

## Properties
**Density of states at the Fermi level**: 12.7 states/eV/cell
**Magnetization**: 0.000 μB/atom
**Crystal system**: tetragonal
**Energy**: -6.1414 eV/atom
**DFT formation energy**: -697.7 meV/atom

Cell: 3.640 9.860 9.860 Å, 90.00 90.00 90.00°
Positions (direct):
Rh1 0.500 0.931 0.211
Rh2 0.500 0.069 0.789
Rh3 0.500 0.431 0.289
Rh4 0.500 0.569 0.711
Rh5 0.500 0.211 0.069
Rh6 0.500 0.789 0.931
Rh7 0.500 0.711 0.431
Rh8 0.500 0.000 0.500
Rh9 0.500 0.289 0.569
Rh10 0.500 0.500 0.000
Tl1 0.000 0.500 0.500
Tl2 0.000 0.000 0.000
Tb1 0.000 0.825 0.675
Tb2 0.000 0.675 0.175
Tb3 0.000 0.325 0.825
Tb4 0.000 0.175 0.325
Ga1 0.000 0.878 0.378
Ga2 0.000 0.622 0.878
Ga3 0.000 0.122 0.622
Ga4 0.000 0.378 0.122